Record 1
The following is a PBE-GGA calculation of a geometry-optimized Rb4CeCl7 structure, from Alexandria via LeMat-Bulk.

Space-group type ... C2/m, No. 12
Fermi-level density of states ... 0.6124 states/eV per atom
Final energy ... -3.90 eV per atom
Magnetization ... 1.0 μB per cell

Unit cell a=12.8092 b=12.8092 c=7.3786 alpha=106.72 beta=106.72 gamma=24.75
With the nearest neighbours (Å) after each atom.
Fractional positions:
1 Rb 0.0895 0.0895 0.0322  5 Cl 3.13-3.44
2 Rb 0.2117 0.2117 0.6980  3 Cl 3.22-3.42
3 Rb 0.7883 0.7883 0.3020  3 Cl 3.22-3.42
4 Rb 0.9105 0.9105 0.9678  5 Cl 3.13-3.44
5 Ce 0.5000 0.5000 0.5000  6 Cl 2.72-2.77
6 Cl 0.0000 0.0000 0.5000  2 Ce 2.75
7 Cl 0.2182 0.2182 0.2409  4 Rb 3.13-3.42
8 Cl 0.3960 0.3960 0.2312  1 Ce 2.77
9 Cl 0.4449 0.4449 0.7676  1 Ce 2.72
10 Cl 0.5551 0.5551 0.2324  1 Ce 2.72
11 Cl 0.6040 0.6040 0.7688  1 Ce 2.77
12 Cl 0.7818 0.7818 0.7591  4 Rb 3.13-3.42


Record 2
The following is a PBE-GGA calculation of a geometry-optimized ScTa2Hg structure, from Alexandria via LeMat-Bulk.

Space-group type ... F-43m, No. 216
Fermi-level density of states ... 1.3039 states/eV per atom
Magnetization ... 0.0 μB per cell
Energy of formation ... 0.2185 eV/atom

Unit cell a=4.7863 b=4.7863 c=4.7863 alpha=60.00 beta=60.00 gamma=60.00
With the nearest neighbours (Å) after each atom.
Fractional positions:
1 Sc 0.0000 0.0000 0.0000  4 Hg 2.93, 4 Ta 2.93
2 Ta 0.5000 0.5000 0.5000  4 Hg 2.93, 4 Ta 2.93
3 Ta 0.7500 0.7500 0.7500  4 Ta 2.93, 4 Sc 2.93
4 Hg 0.2500 0.2500 0.2500  4 Ta 2.93, 4 Sc 2.93


Record 3
The following is a PBE-GGA calculation of a geometry-optimized PmFe2B3 structure, from Alexandria via LeMat-Bulk.

Space-group type ... Cmcm, No. 63
Fermi-level density of states ... 0.7214 states/eV per atom
Magnetization ... 1.6 μB per cell
Energy of formation ... -0.3561 eV/atom

Unit cell a=5.1736 b=5.1736 c=5.0723 alpha=90.00 beta=90.00 gamma=70.21
With the nearest neighbours (Å) after each atom.
Fractional positions:
1 Pm 0.1669 0.8331 0.7500  11 B 2.73-2.97, 4 Fe 2.87
2 Pm 0.8331 0.1669 0.2500  11 B 2.73-2.97, 4 Fe 2.87
3 Fe 0.3066 0.3066 0.0000  6 B 2.09-2.23
4 Fe 0.3066 0.3066 0.5000  6 B 2.09-2.23
5 Fe 0.6934 0.6934 0.0000  6 B 2.09-2.23
6 Fe 0.6934 0.6934 0.5000  6 B 2.09-2.23
7 B 0.0339 0.6070 0.2500  1 B 1.76
8 B 0.3627 0.6373 0.2500  2 B 1.76
9 B 0.3930 0.9661 0.2500  1 B 1.76
10 B 0.6070 0.0339 0.7500  1 B 1.76
11 B 0.6373 0.3627 0.7500  2 B 1.76
12 B 0.9661 0.3930 0.7500  1 B 1.76


Record 4
The following is a PBE-GGA calculation of a geometry-optimized CrSb2As structure, from Alexandria via LeMat-Bulk.

Space-group type ... I4/mmm, No. 139
Fermi-level density of states ... 0.7461 states/eV per atom
Final energy ... -5.19 eV per atom
Magnetization ... 3.6 μB per cell

Unit cell a=5.5399 b=5.5399 c=5.5399 alpha=133.17 beta=133.17 gamma=68.38
With the nearest neighbours (Å) after each atom.
Fractional positions:
1 Cr 0.0000 0.0000 0.0000  4 As 3.11, 8 Sb 3.18
2 Sb 0.2500 0.7500 0.5000  4 Sb 3.11, 4 Cr 3.18, 4 As 3.18
3 Sb 0.7500 0.2500 0.5000  4 Sb 3.11, 4 Cr 3.18, 4 As 3.18
4 As 0.5000 0.5000 0.0000  4 Cr 3.11, 8 Sb 3.18


Record 5
The following is a PBE-GGA calculation of a geometry-optimized PmGe2Rh3 structure, from Alexandria via LeMat-Bulk.

Space-group type ... I4/mmm, No. 139
Fermi-level density of states ... 0.4029 states/eV per atom
Energy relative to the lowest polymorph listed for this composition ... 19.7 kJ per mole of atoms
Magnetization ... 0.0 μB per cell
Energy of formation ... -0.5929 eV/atom

Unit cell a=8.0247 b=8.0247 c=8.0247 alpha=150.76 beta=150.76 gamma=41.82
With the nearest neighbours (Å) after each atom.
Fractional positions:
1 Pm 0.0000 0.0000 0.0000  4 Rh 2.86
2 Ge 0.3401 0.3401 0.0000  5 Rh 2.40-2.43
3 Ge 0.6599 0.6599 0.0000  5 Rh 2.40-2.43
4 Rh 0.2500 0.7500 0.5000  4 Ge 2.43
5 Rh 0.5000 0.5000 0.0000  2 Ge 2.40
6 Rh 0.7500 0.2500 0.5000  4 Ge 2.43